# MgZnBi2

A geometry-optimized MgZnBi2 structure (PBE-GGA, OQMD).

Calculated values
Its crystal system is cubic. As for the final energy: -2.595 eV per atom.

Structure (extended XYZ):
```
4
Lattice="0.000 3.775 3.775 3.775 0.000 3.775 3.775 3.775 0.000" Properties=species:S:1:pos:R:3 pbc="T T T"
Mg 0.000 0.000 0.000
Zn 1.888 1.888 1.888
Bi 3.775 3.775 3.775
Bi 5.663 5.663 5.663
```

***

# Mg2ZnBi

A geometry-optimized Mg2ZnBi structure (PBE-GGA, OQMD).

Calculated values
Its crystal system is cubic. As for the final energy: -2.047 eV per atom.

Structure (extended XYZ):
```
4
Lattice="0.000 3.615 3.615 3.615 0.000 3.615 3.615 3.615 0.000" Properties=species:S:1:pos:R:3 pbc="T T T"
Mg 0.000 0.000 0.000
Mg 1.807 1.807 1.807
Zn 5.422 5.422 5.422
Bi 3.615 3.615 3.615
```

***

# MgZr2Bi

A geometry-optimized MgZr2Bi structure (PBE-GGA, OQMD).

Calculated values
For the total moment, the calculation gives 1.35 μB/cell. Its crystal system is cubic. As for the final energy: -5.470 eV per atom.

Structure (extended XYZ):
```
4
Lattice="0.000 3.607 3.607 3.607 0.000 3.607 3.607 3.607 0.000" Properties=species:S:1:pos:R:3 pbc="T T T"
Mg 0.000 0.000 0.000
Zr 1.804 1.804 1.804
Zr 3.607 3.607 3.607
Bi 5.411 5.411 5.411
```